Record 1
Here is SiBi2C after structural relaxation from Alexandria. Energies are from PBE.

Properties
Formation energy from raw total energies (kJ/mol of atoms): 145.75
ρ (kg/m³): 9173

Unit cell a=4.8946 b=4.8946 c=4.8946 alpha=60.00 beta=60.00 gamma=60.00
Last column: nearest neighbours and their distance in Å.
Element x y z (fractional)
C 0.0000 0.0000 0.0000  8 Bi 3.00
Si 0.5000 0.5000 0.5000  8 Bi 3.00
Bi 0.2500 0.2500 0.2500  4 C 3.00, 4 Si 3.00
Bi 0.7500 0.7500 0.7500  4 Si 3.00, 4 C 3.00

Record 2
Here is SiBi2C after structural relaxation from Alexandria. Energies are from PBE.

Properties
Formation energy from raw total energies (kJ/mol of atoms): 113.43
ρ (kg/m³): 7632

Unit cell a=6.5615 b=6.5615 c=6.5542 alpha=59.96 beta=59.96 gamma=90.00
Last column: nearest neighbours and their distance in Å.
Element x y z (fractional)
C 0.5000 0.5000 0.0000  4 Bi 2.38
C 0.2500 0.7500 0.5000  4 Bi 2.38
Si 0.0000 0.0000 0.0000  4 Bi 2.84
Si 0.7500 0.2500 0.5000  4 Bi 2.84
Bi 0.5691 0.1250 0.2500  2 C 2.38
Bi 0.1809 0.6250 0.2500  2 C 2.38
Bi 0.3750 0.4309 0.7500  2 C 2.38
Bi 0.8750 0.8191 0.7500  2 C 2.38

Record 3
Here is Tb4SiBiC after structural relaxation from Alexandria. Energies are from PBE.

Properties
Formation energy from raw total energies (kJ/mol of atoms): -53.72
ρ (kg/m³): 8183

Unit cell a=6.7786 b=6.7977 c=8.4982 alpha=90.00 beta=113.51 gamma=90.00
Last column: nearest neighbours and their distance in Å.
Element x y z (fractional)
Tb 0.9177 0.2500 0.8354  1 C 2.54
Tb 0.4046 0.7500 0.8092  1 C 2.48
Tb 0.0823 0.7500 0.1646  1 C 2.54
Tb 0.5954 0.2500 0.1908  1 C 2.48
Tb 0.5000 0.5000 0.5000  2 C 2.40
Tb 0.0000 0.0000 0.5000  2 C 2.40
Tb 0.5000 0.0000 0.5000  2 C 2.40
Tb 0.0000 0.5000 0.5000  2 C 2.40
Si 0.1160 0.2500 0.2319  9 Tb 3.09-3.44
Si 0.8840 0.7500 0.7681  9 Tb 3.09-3.44
Bi 0.6043 0.7500 0.2086  9 Tb 3.11-3.41
Bi 0.3957 0.2500 0.7914  9 Tb 3.11-3.41
C 0.2452 0.7500 0.4903  6 Tb 2.40-2.54
C 0.7548 0.2500 0.5097  6 Tb 2.40-2.54

Record 4
Here is SiBi2TeC after structural relaxation from Alexandria. Energies are from PBE.

Properties
Formation energy from raw total energies (kJ/mol of atoms): 177.37
ρ (kg/m³): 6348

Unit cell a=5.4347 b=5.1865 c=5.4347 alpha=90.00 beta=90.00 gamma=90.00
Last column: nearest neighbours and their distance in Å.
Element x y z (fractional)
C 0.5000 0.5000 0.5000  8 Bi 3.76, 4 Te 3.84
Si 0.0000 0.0000 0.0000  2 Te 2.59, 4 Bi 2.72
Te 0.0000 0.5000 0.0000  2 Si 2.59
Bi 0.0000 0.0000 0.5000  2 Si 2.72
Bi 0.5000 0.0000 0.0000  2 Si 2.72

Number 1: VASP energy -16.4 eV for the cell shown. Number 2: VASP energy -35.4 eV for the cell shown. Number 3: VASP energy -81.9 eV for the cell shown. Number 4: VASP energy -16.4 eV for the cell shown.